CdBi2Au2 after structural relaxation. Source: Alexandria via LeMat-Bulk, functional PBE.

The structure in POSCAR format:
```
CdBi2Au2
1.0
-2.3654 2.3654 6.2348
2.3654 -2.3654 6.2348
2.3654 2.3654 -6.2348
Cd Bi Au
1 2 2
Cartesian
0.0000 0.0000 0.0000 Cd
2.3654 0.0000 3.1174 Bi
0.0000 2.3654 3.1174 Bi
0.0000 0.0000 4.9042 Au
0.0000 0.0000 7.5654 Au
```

crystal system	tetragonal
polymorph energy (0 for the lowest one)	204	meV per atom
E_form	157	meV per atom

***

TiMnVTc after structural relaxation. Source: Alexandria via LeMat-Bulk, functional PBE.

The structure in POSCAR format:
```
TiMnVTc
1.0
0.0000 3.0014 3.0014
3.0014 0.0000 3.0014
3.0014 3.0014 0.0000
Ti Mn V Tc
1 1 1 1
Cartesian
0.0000 0.0000 0.0000 Ti
1.5007 1.5007 1.5007 Mn
3.0014 3.0014 3.0014 V
4.5021 4.5021 4.5021 Tc
```

crystal system	cubic
E_form	-346	meV per atom

***

MgCdSn after structural relaxation. Source: Alexandria via LeMat-Bulk, functional PBE.

The structure in POSCAR format:
```
MgCdSn
1.0
7.7231 0.0000 0.0000
0.0000 4.5224 0.0000
0.0000 0.0000 8.6153
Mg Cd Sn
4 4 4
Cartesian
0.3978 1.1306 1.4027 Mg
3.4637 3.3918 5.7104 Mg
4.2593 1.1306 2.9049 Mg
7.3253 3.3918 7.2126 Mg
0.9570 1.1306 4.6348 Cd
2.9045 3.3918 0.3271 Cd
4.8185 1.1306 8.2882 Cd
6.7661 3.3918 3.9806 Cd
1.7923 1.1306 7.3812 Sn
2.0692 3.3918 3.0735 Sn
5.6538 1.1306 5.5418 Sn
5.9308 3.3918 1.2342 Sn
```

crystal system	orthorhombic
E_form	-6	meV per atom

***

Rb2SiSCl6 after structural relaxation. Source: Alexandria via LeMat-Bulk, functional PBE.

The structure in POSCAR format:
```
Rb2SiSCl6
1.0
-3.8955 3.8955 4.5469
3.8955 -3.8955 4.5469
3.8955 3.8955 -4.5469
Rb Si S Cl
2 1 1 6
Cartesian
3.8955 0.0000 2.2735 Rb
0.0000 3.8955 2.2735 Rb
0.0000 0.0000 0.0000 Si
0.0000 0.0000 4.5469 S
1.5871 1.5871 0.0000 Cl
2.3083 -2.3083 4.5469 Cl
0.0000 0.0000 2.2545 Cl
0.0000 0.0000 6.8393 Cl
-2.3083 2.3083 4.5469 Cl
2.3083 2.3083 4.5469 Cl
```

crystal system	tetragonal
uncorrected formation energy	-10.20	eV per formula unit

***

ScIrOs2 after structural relaxation. Source: Alexandria via LeMat-Bulk, functional PBE.

The structure in POSCAR format:
```
ScIrOs2
1.0
2.9142 0.0000 0.0000
0.0000 4.5729 0.0000
0.0000 0.0000 4.6544
Sc Ir Os
1 1 2
Cartesian
0.0000 0.0000 0.0000 Sc
1.4571 2.2865 0.0000 Ir
0.0000 2.2865 2.3272 Os
1.4571 0.0000 2.3272 Os
```

crystal system	orthorhombic
polymorph energy (0 for the lowest one)	156	meV per atom
E_form	-21	meV per atom

***

Pm2NdY4Tm2 after structural relaxation. Source: Alexandria via LeMat-Bulk, functional PBE.

The structure in POSCAR format:
```
Pm2NdY4Tm2
1.0
9.3671 -1.8096 0.0000
9.3671 1.8096 0.0000
-4.1603 0.0000 8.6569
Pm Nd Y Tm
2 1 4 2
Cartesian
2.0816 0.0000 1.4537 Pm
12.4923 0.0000 7.2032 Pm
-2.0802 0.0000 4.3285 Nd
0.0070 0.0000 7.2117 Y
8.3171 0.0000 1.4422 Y
6.2568 0.0000 7.2147 Y
14.5669 0.0000 1.4452 Y
4.1454 0.0000 4.3146 Tm
10.4285 0.0000 4.3423 Tm
```

crystal system	monoclinic
E_form	7	meV per atom

***

no.,final energy (eV/f.u.),mass density (kg/m³)
1,-14.4,11000
2,-37.9,7730
3,-6.5,5638
4,-32.8,2670
5,-37.7,16535
6,-49.0,6381